This record from the Alexandria database describes an optimized crystal structure of BaSr2Gd. The functional is GGA-PBE.

Geometry as POSCAR:
```
BaSr2Gd
1.0
3.971 0.000 0.000
1.986 3.439 0.000
1.986 1.146 14.441
Gd Ba Sr
1 1 2
Cartesian
0.000 0.000 0.000
3.971 2.293 7.221
5.957 3.439 3.591
1.986 1.146 10.851
```

Summary:
* crystal system: trigonal
* E_tot: -18.121 eV per formula unit
* spin magnetization: 7.77 μB/f.u.
* energy relative to the elements: 120 kJ/mol of formula units
* symmetry: R-3m, No. 166
* distance to the lowest polymorph of the same formula: 0.1808 eV per atom

This record from the Alexandria database describes an optimized crystal structure of BaSr2Gd. The functional is GGA-PBE.

Geometry as POSCAR:
```
BaSr2Gd
1.0
4.106 0.000 0.000
0.000 4.106 0.000
0.000 0.000 11.829
Sr Ba Gd
2 1 1
Cartesian
0.000 0.000 2.607
0.000 0.000 9.222
2.053 2.053 5.914
2.053 2.053 0.000
```

Summary:
* crystal system: tetragonal
* E_tot: -18.844 eV per formula unit
* spin magnetization: 8.08 μB/f.u.
* energy relative to the elements: 50 kJ/mol of formula units
* symmetry: P4/mmm, No. 123
* distance to the lowest polymorph of the same formula: 0.0000 eV per atom

This record from the Alexandria database describes an optimized crystal structure of BaGd3Tc. The functional is GGA-PBE.

Geometry as POSCAR:
```
BaGd3Tc
1.0
5.563 0.000 0.000
0.000 5.563 0.000
0.000 0.000 5.563
Gd Ba Tc
3 1 1
Cartesian
2.781 0.000 0.000
0.000 2.781 0.000
0.000 0.000 2.781
2.781 2.781 2.781
0.000 0.000 0.000
```

Summary:
* crystal system: cubic
* E_tot: -54.201 eV per formula unit
* spin magnetization: 21.44 μB/f.u.
* energy relative to the elements: 32 kJ/mol of formula units
* symmetry: Pm-3m, No. 221

This record from the Alexandria database describes an optimized crystal structure of Ba2GdTe. The functional is GGA-PBE.

Geometry as POSCAR:
```
Ba2GdTe
1.0
-3.124 2.380 1.957
-3.039 -1.977 2.471
5.064 1.427 11.265
Gd Ba Te
1 2 1
Cartesian
0.000 0.000 0.000
2.812 1.018 8.169
-3.912 0.811 7.525
-0.550 0.915 7.847
```

Summary:
* crystal system: trigonal
* E_tot: -22.548 eV per formula unit
* spin magnetization: 7.77 μB/f.u.
* symmetry: R-3m, No. 166

This record from the Alexandria database describes an optimized crystal structure of BaGdTe2. The functional is GGA-PBE.

Geometry as POSCAR:
```
BaGdTe2
1.0
-2.216 3.993 0.759
-2.712 0.471 3.722
4.494 4.108 5.634
Ba Gd Te
1 1 2
Cartesian
-0.217 4.286 5.058
0.000 0.000 0.000
-0.301 2.061 2.399
-0.133 6.511 7.717
```

Summary:
* crystal system: trigonal
* E_tot: -28.567 eV per formula unit
* spin magnetization: 6.88 μB/f.u.
* symmetry: R-3m, No. 166

This record from the Alexandria database describes an optimized crystal structure of BaGdTh2. The functional is GGA-PBE.

Geometry as POSCAR:
```
BaGdTh2
1.0
3.588 0.000 0.000
1.794 3.107 0.000
1.794 1.036 13.075
Th Gd Ba
2 1 1
Cartesian
5.381 3.107 3.633
1.794 1.036 9.443
3.588 2.071 6.538
0.000 0.000 0.000
```

Summary:
* crystal system: trigonal
* E_tot: -29.586 eV per formula unit
* spin magnetization: 7.20 μB/f.u.
* energy relative to the elements: 121 kJ/mol of formula units
* symmetry: R-3m, No. 166

This record from the Alexandria database describes an optimized crystal structure of BaGdTl4. The functional is GGA-PBE.

Geometry as POSCAR:
```
BaGdTl4
1.0
6.448 0.000 0.000
3.224 5.584 0.000
3.224 1.861 5.264
Tl Gd Ba
4 1 1
Cartesian
6.448 3.723 0.651
4.830 4.657 3.293
8.065 4.657 3.293
6.448 1.855 3.293
0.000 0.000 0.000
3.224 1.861 1.316
```

Summary:
* crystal system: cubic
* E_tot: -26.473 eV per formula unit
* spin magnetization: 7.70 μB/f.u.
* energy relative to the elements: -97 kJ/mol of formula units
* symmetry: F-43m, No. 216

This record from the Alexandria database describes an optimized crystal structure of Ba2GdTl. The functional is GGA-PBE.

Geometry as POSCAR:
```
Ba2GdTl
1.0
3.956 0.000 0.000
1.978 3.426 0.000
1.978 1.142 12.907
Tl Ba Gd
1 2 1
Cartesian
3.956 2.284 6.454
1.978 1.142 9.220
5.934 3.426 3.687
0.000 0.000 0.000
```

Summary:
* crystal system: trigonal
* E_tot: -19.591 eV per formula unit
* spin magnetization: 7.55 μB/f.u.
* energy relative to the elements: 68 kJ/mol of formula units
* symmetry: R-3m, No. 166